The following is a DFT calculation (PBE-GGA) of a relaxed structure of Ca2CdP.

a b c (Å): 5.208 5.208 5.208
angles (deg): 60.00 60.00 60.00
Positions (direct):
1 P 0.000 0.000 0.000
2 Ca 0.250 0.250 0.250
3 Ca 0.750 0.750 0.750
4 Cd 0.500 0.500 0.500

Fermi-level density of states: 3.1 states/eV per cell
Mass density: 3.7 g/cm3
Calculated formation energy: -0.52 eV/atom